(1)
Compound: YRe2Pt
Source: Alexandria
Functional: GGA-PBE
Structure: optimized geometry

Unit cell a=3.9603 b=3.9603 c=8.9784 alpha=90.00 beta=90.00 gamma=90.00
Closest atoms and distances in Å follow each position.
Space group I4/mmm (No. 139)
Inequivalent atoms, fractional coordinates:
Y 0.0000 0.0000 0.0000 (multiplicity 2)  4 Pt 2.80, 8 Re 2.99
Re 0.0000 0.5000 0.2500 (multiplicity 4)  4 Re 2.80, 4 Pt 2.99, 4 Y 2.99
Pt 0.0000 0.0000 0.5000 (multiplicity 2)  4 Y 2.80, 8 Re 2.99

## Properties
ΔE_f, kcal/mol of atoms: 5.0
N(E_F), states/eV/cell: 10.08

---

(2)
Compound: Er11Zn9Co4
Source: Alexandria
Functional: GGA-PBE
Structure: optimized geometry

Unit cell a=13.5079 b=20.2003 c=3.5737 alpha=90.00 beta=90.00 gamma=90.00
Closest atoms and distances in Å follow each position.
Space group Cmmm (No. 65)
Inequivalent atoms, fractional coordinates:
Er 0.0000 0.0000 0.0000 (multiplicity 2)  8 Zn 3.01
Er 0.0000 0.1680 0.0000 (multiplicity 4)  8 Zn 3.00-3.24
Er 0.0000 0.3684 0.0000 (multiplicity 4)  4 Co 2.74
Er 0.2052 0.5000 0.0000 (multiplicity 4)  4 Co 2.75
Er 0.2496 0.1669 0.0000 (multiplicity 8)  2 Co 2.73, 4 Zn 2.98-2.99
Zn 0.0000 0.5000 0.5000 (multiplicity 2)  4 Co 2.72
Zn 0.1052 0.2645 0.5000 (multiplicity 8)  1 Zn 2.84, 1 Co 2.89, 6 Er 2.99-3.10
Zn 0.1414 0.0734 0.5000 (multiplicity 8)  1 Co 2.94, 1 Zn 2.97, 8 Er 2.98-3.24
Co 0.1430 0.4054 0.5000 (multiplicity 8)  3 Zn 2.72-2.94, 6 Er 2.73-2.75

## Properties
ΔE_f, kcal/mol of atoms: -7.5
N(E_F), states/eV/cell: 33.09

---

(3)
Compound: Fe3Pb
Source: Alexandria
Functional: GGA-PBE
Structure: optimized geometry

Unit cell a=4.3354 b=5.4268 c=5.1649 alpha=90.00 beta=90.00 gamma=90.00
Closest atoms and distances in Å follow each position.
Space group Pmmn (No. 59, origin choice 2)
Inequivalent atoms, fractional coordinates:
Fe 0.2500 0.0115 0.1370 (multiplicity 4)  6 Fe 2.45-2.59
Fe 0.2500 0.7500 0.7499 (multiplicity 2)  6 Fe 2.45-2.59
Pb 0.2500 0.2500 0.6296 (multiplicity 2)  12 Fe 2.78-2.92

## Properties
ΔE_f, kcal/mol of atoms: 8.0
N(E_F), states/eV/cell: 5.90

---

(4)
Compound: Ga2CuMo
Source: Alexandria
Functional: GGA-PBE
Structure: optimized geometry

Unit cell a=3.1765 b=3.1765 c=5.8317 alpha=90.00 beta=90.00 gamma=90.00
Closest atoms and distances in Å follow each position.
Space group P4/mmm (No. 123)
Inequivalent atoms, fractional coordinates:
Ga 0.0000 0.0000 0.2459 (multiplicity 2)  4 Cu 2.66, 4 Mo 2.69, 2 Ga 2.87-2.96
Cu 0.5000 0.5000 0.0000 (multiplicity 1)  8 Ga 2.66, 2 Mo 2.92
Mo 0.5000 0.5000 0.5000 (multiplicity 1)  8 Ga 2.69, 2 Cu 2.92

## Properties
ΔE_f, kcal/mol of atoms: 1.8
N(E_F), states/eV/cell: 3.60